No. 1
This record from the Alexandria database describes a relaxed structure of ZnIn2Fe. The functional is GGA-PBE.

Unit cell a=3.391 b=3.837 c=5.672 alpha=90.00 beta=90.00 gamma=90.00
Fractional positions:
Zn (0.000, 0.000, 0.000)
In (0.000, 0.000, 0.458)
In (0.500, 0.500, 0.762)
Fe (0.500, 0.500, 0.240)

The magnetization is 2.0 μB per cell. For the total DFT energy (no corrections), the calculation gives -3.5219 eV/atom. The value obtained for the formation energy is 282 meV/atom. Its density of states at the Fermi level is 0.785 states/eV/atom.

=====

No. 2
This record from the Alexandria database describes a relaxed structure of ZnIn2Fe2. The functional is GGA-PBE.

Unit cell a=6.262 b=6.262 c=4.074 alpha=90.00 beta=90.00 gamma=90.00
Fractional positions:
Zn (0.000, 0.000, 0.000)
Zn (0.500, 0.500, 0.000)
In (0.174, 0.326, 0.500)
In (0.326, 0.826, 0.500)
In (0.674, 0.174, 0.500)
In (0.826, 0.674, 0.500)
Fe (0.126, 0.626, 0.000)
Fe (0.374, 0.126, 0.000)
Fe (0.626, 0.874, 0.000)
Fe (0.874, 0.374, 0.000)

The magnetization is 0.0 μB per cell. For the total DFT energy (no corrections), the calculation gives -4.4923 eV/atom. The value obtained for the formation energy is 243 meV/atom. Its density of states at the Fermi level is 1.364 states/eV/atom.

=====

No. 3
This record from the Alexandria database describes a relaxed structure of ZnIn2Fe. The functional is GGA-PBE.

Unit cell a=4.844 b=4.844 c=5.539 alpha=101.41 beta=101.41 gamma=36.67
Fractional positions:
Zn (0.000, 0.000, 0.000)
In (0.244, 0.244, 0.738)
In (0.756, 0.756, 0.262)
Fe (0.500, 0.500, 0.500)

The magnetization is 2.6 μB per cell. For the total DFT energy (no corrections), the calculation gives -3.4770 eV/atom. The value obtained for the formation energy is 326 meV/atom. Its density of states at the Fermi level is 0.652 states/eV/atom.

=====

No. 4
This record from the Alexandria database describes a relaxed structure of ZnIn2Fe. The functional is GGA-PBE.

Unit cell a=6.653 b=6.653 c=4.500 alpha=109.68 beta=109.68 gamma=24.65
Fractional positions:
Zn (0.000, 0.000, 0.000)
In (0.171, 0.171, 0.670)
In (0.373, 0.373, 0.372)
Fe (0.677, 0.677, 0.177)

The magnetization is 1.8 μB per cell. For the total DFT energy (no corrections), the calculation gives -3.6345 eV/atom. The value obtained for the formation energy is 169 meV/atom. Its density of states at the Fermi level is 0.580 states/eV/atom.

=====

No. 5
This record from the Alexandria database describes a relaxed structure of ZnIn2Fe. The functional is GGA-PBE.

Unit cell a=3.542 b=4.117 c=5.473 alpha=90.00 beta=108.81 gamma=90.00
Fractional positions:
Zn (0.000, 0.000, 0.000)
In (0.280, 0.000, 0.562)
In (0.589, 0.500, 0.175)
Fe (0.857, 0.500, 0.714)

The magnetization is 2.2 μB per cell. For the total DFT energy (no corrections), the calculation gives -3.5966 eV/atom. The value obtained for the formation energy is 207 meV/atom. Its density of states at the Fermi level is 0.657 states/eV/atom.

=====

No. 6
This record from the Alexandria database describes a relaxed structure of Zn3InFe. The functional is GGA-PBE.

Unit cell a=4.700 b=4.700 c=4.700 alpha=90.00 beta=90.00 gamma=90.00
Fractional positions:
Zn (0.000, 0.000, 0.500)
Zn (0.000, 0.500, 0.000)
Zn (0.500, 0.000, 0.000)
In (0.500, 0.500, 0.500)
Fe (0.000, 0.000, 0.000)

The magnetization is 1.6 μB per cell. For the total DFT energy (no corrections), the calculation gives -2.5448 eV/atom. The value obtained for the formation energy is 460 meV/atom. The energy above the lowest structure with this stoichiometry is 0.0000 eV/atom. Its density of states at the Fermi level is 1.141 states/eV/atom.